Computed, not measured: a relaxed structure of Pm2Te2N at the GGA-PBE level of DFT.

- E above lowest polymorph (eV per atom) = 0.1549
- density of states at the Fermi level (states/eV/cell) = 9.9
- VASP energy (eV/cell) = -119.1
- crystal system = orthorhombic
- ΔE_f (raw) (kJ/mol of formula units) = -547
- ρ (g cm⁻³) = 6.789

Cell and atoms, written as CIF:
```
data_Pm2Te2N
_chemical_formula_sum 'Pm8 Te8 N4'
_cell_length_a 4.2553
_cell_length_b 15.6363
_cell_length_c 8.2227
_cell_angle_alpha 90.00
_cell_angle_beta 90.00
_cell_angle_gamma 90.00
_symmetry_space_group_name_H-M 'C m c 21'
_symmetry_Int_Tables_number 36
_symmetry_space_group_name_Hall 'C 2c -2'
loop_
_atom_site_label
_atom_site_type_symbol
_atom_site_fract_x
_atom_site_fract_y
_atom_site_fract_z
_atom_site_occupancy
Pm1 Pm 0.0000 0.0525 0.0000 1
Pm2 Pm 0.0000 0.3604 0.8518 1
Te1 Te 0.0000 0.2828 0.5096 1
Te2 Te 0.0000 0.4410 0.1996 1
N1 N 0.0000 0.0786 0.3110 1
```